Record 1
Entry from Alexandria: a relaxed TaGa2Cu crystal (GGA-PBE).

Lattice parameters (Å, degrees): 2.9064 2.9064 7.2132 90.00 90.00 90.00
Closest atoms and distances in Å follow each position.
Atoms (fractional coordinates):
Cu: 0.5000 0.5000 0.0000  8 Ga 2.63, 4 Cu 2.91
Ga: 0.0000 0.0000 0.7726  4 Cu 2.63, 4 Ta 2.84, 4 Ga 2.91
Ga: 0.0000 0.0000 0.2274  4 Cu 2.63, 4 Ta 2.84, 4 Ga 2.91
Ta: 0.5000 0.5000 0.5000  8 Ga 2.84, 4 Ta 2.91

DOS(E_F) = 0.73 states/eV/f.u.
Space-group type = P4/mmm, No. 123
Electronic total energy = -0.4079 Ry/atom
DFT formation energy = -0.049 eV per atom

=====

Record 2
Entry from Alexandria: a relaxed TaGa2Cu crystal (GGA-PBE).

Lattice parameters (Å, degrees): 6.8897 6.8897 5.5890 51.95 51.95 90.00
Closest atoms and distances in Å follow each position.
Atoms (fractional coordinates):
Cu: 0.5000 0.5000 0.0000  4 Ga 2.37
Cu: 0.2500 0.7500 0.5000  4 Ga 2.37
Ga: 0.5897 0.1250 0.2500  2 Cu 2.37
Ga: 0.1603 0.6250 0.2500  2 Cu 2.37
Ga: 0.3750 0.4103 0.7500  2 Cu 2.37
Ga: 0.8750 0.8397 0.7500  2 Cu 2.37
Ta: 0.0000 0.0000 0.0000  4 Ga 2.70, 2 Cu 2.74
Ta: 0.7500 0.2500 0.5000  4 Ga 2.70, 2 Cu 2.74

DOS(E_F) = 0.86 states/eV/f.u.
Space-group type = I-42d, No. 122
Electronic total energy = -0.3922 Ry/atom
DFT formation energy = 0.164 eV per atom

=====

Record 3
Entry from Alexandria: a relaxed TaGa2Cu crystal (GGA-PBE).

Lattice parameters (Å, degrees): 2.9197 2.9197 8.7170 80.36 80.36 60.00
Closest atoms and distances in Å follow each position.
Atoms (fractional coordinates):
Ta: 0.5005 0.5005 0.4986  6 Ga 2.82-2.83, 6 Ta 2.92
Ga: 0.0784 0.0784 0.7649  3 Cu 2.64, 3 Ta 2.83, 6 Ga 2.92
Ga: 0.2554 0.2554 0.2338  3 Cu 2.60, 3 Ta 2.82
Cu: 0.6658 0.6658 0.0027  6 Ga 2.60-2.64

DOS(E_F) = 1.25 states/eV/f.u.
Space-group type = R3m, No. 160
Electronic total energy = -0.4085 Ry/atom
DFT formation energy = -0.058 eV per atom

=====

Record 4
Entry from Alexandria: a relaxed Ta3GaCu crystal (GGA-PBE).

Lattice parameters (Å, degrees): 4.6248 4.6248 4.6248 90.00 90.00 90.00
Closest atoms and distances in Å follow each position.
Atoms (fractional coordinates):
Cu: 0.0000 0.0000 0.0000  6 Ta 2.31
Ga: 0.5000 0.5000 0.5000  12 Ta 3.27
Ta: 0.0000 0.5000 0.0000  2 Cu 2.31
Ta: 0.0000 0.0000 0.5000  2 Cu 2.31
Ta: 0.5000 0.0000 0.0000  2 Cu 2.31

DOS(E_F) = 8.16 states/eV/f.u.
Space-group type = Pm-3m, No. 221
Electronic total energy = -0.5481 Ry/atom
E above lowest polymorph = 0.000 eV/atom
DFT formation energy = 1.079 eV per atom

=====

Record 5
Entry from Alexandria: a relaxed TaGa2Cu2 crystal (GGA-PBE).

Lattice parameters (Å, degrees): 7.1761 7.1761 2.8281 90.00 90.00 90.00
Closest atoms and distances in Å follow each position.
Atoms (fractional coordinates):
Cu: 0.3785 0.8785 0.0000  1 Cu 2.47, 6 Ga 2.48-2.60
Cu: 0.8785 0.6215 0.0000  1 Cu 2.47, 6 Ga 2.48-2.60
Cu: 0.6215 0.1215 0.0000  1 Cu 2.47, 6 Ga 2.48-2.60
Cu: 0.1215 0.3785 0.0000  1 Cu 2.47, 6 Ga 2.48-2.60
Ga: 0.1776 0.6776 0.5000  6 Cu 2.48-2.60
Ga: 0.6776 0.8224 0.5000  6 Cu 2.48-2.60
Ga: 0.8224 0.3224 0.5000  6 Cu 2.48-2.60
Ga: 0.3224 0.1776 0.5000  6 Cu 2.48-2.60
Ta: 0.0000 0.0000 0.0000  2 Ta 2.83, 4 Cu 2.85, 8 Ga 3.00
Ta: 0.5000 0.5000 0.0000  2 Ta 2.83, 4 Cu 2.85, 8 Ga 3.00

DOS(E_F) = 2.14 states/eV/f.u.
Space-group type = P4/mbm, No. 127
Electronic total energy = -0.3839 Ry/atom
E above lowest polymorph = 0.000 eV/atom
DFT formation energy = -0.004 eV per atom

=====

Record 6
Entry from Alexandria: a relaxed TaGa2Cu crystal (GGA-PBE).

Lattice parameters (Å, degrees): 4.0080 4.0080 5.0585 66.66 66.66 60.00
Closest atoms and distances in Å follow each position.
Atoms (fractional coordinates):
Cu: 0.0000 0.0000 0.0000  6 Ga 2.45
Ga: 0.7261 0.7261 0.8217  3 Cu 2.45, 3 Ta 2.73
Ga: 0.2739 0.2739 0.1783  3 Cu 2.45, 3 Ta 2.73
Ta: 0.5000 0.5000 0.5000  8 Ga 2.73-3.05

DOS(E_F) = 1.08 states/eV/f.u.
Space-group type = R-3m, No. 166
Electronic total energy = -0.3983 Ry/atom
DFT formation energy = 0.082 eV per atom

=====

Record 7
Entry from Alexandria: a relaxed TaTiGaCu crystal (GGA-PBE).

Lattice parameters (Å, degrees): 4.4459 4.4459 4.4459 60.00 60.00 60.00
Closest atoms and distances in Å follow each position.
Atoms (fractional coordinates):
Ti: 0.5000 0.5000 0.5000  4 Ga 2.72, 4 Cu 2.72
Cu: 0.2500 0.2500 0.2500  4 Ta 2.72, 4 Ti 2.72
Ga: 0.7500 0.7500 0.7500  4 Ti 2.72, 4 Ta 2.72
Ta: 0.0000 0.0000 0.0000  4 Ga 2.72, 4 Cu 2.72

DOS(E_F) = 3.87 states/eV/f.u.
Space-group type = F-43m, No. 216
Electronic total energy = -0.4993 Ry/atom
DFT formation energy = -0.076 eV per atom

=====

Record 8
Entry from Alexandria: a relaxed TaZnGaCu crystal (GGA-PBE).

Lattice parameters (Å, degrees): 3.8315 3.8728 4.0047 90.00 90.00 90.00
Closest atoms and distances in Å follow each position.
Atoms (fractional coordinates):
Ta: 0.5000 0.0000 0.5000  4 Ga 2.72, 4 Zn 2.77, 4 Cu 2.79
Zn: 0.0000 0.0000 0.0000  4 Cu 2.72, 4 Ta 2.77, 4 Ga 2.79
Ga: 0.0000 0.5000 0.5000  4 Ta 2.72, 4 Cu 2.77, 4 Zn 2.79
Cu: 0.5000 0.5000 0.0000  4 Zn 2.72, 4 Ga 2.77, 4 Ta 2.79

DOS(E_F) = 1.76 states/eV/f.u.
Space-group type = Pmmm, No. 47
Electronic total energy = -0.3800 Ry/atom
DFT formation energy = -0.108 eV per atom

=====

Record 9
Entry from Alexandria: a relaxed TbGaCu crystal (GGA-PBE).

Lattice parameters (Å, degrees): 4.4706 4.4706 4.4706 60.00 60.00 60.00
Closest atoms and distances in Å follow each position.
Atoms (fractional coordinates):
Tb: 0.5000 0.5000 0.5000  4 Cu 2.74
Cu: 0.2500 0.2500 0.2500  4 Tb 2.74, 4 Ga 2.74
Ga: 0.0000 0.0000 0.0000  4 Cu 2.74

DOS(E_F) = 3.80 states/eV/f.u.
Space-group type = F-43m, No. 216
Electronic total energy = -0.3137 Ry/atom
DFT formation energy = -0.350 eV per atom

=====

Record 10
Entry from Alexandria: a relaxed Tb2GaCu crystal (GGA-PBE).

Lattice parameters (Å, degrees): 3.4944 3.4944 7.2893 90.00 90.00 90.00
Closest atoms and distances in Å follow each position.
Atoms (fractional coordinates):
Tb: 0.0000 0.0000 0.7592  4 Cu 3.03, 4 Ga 3.11
Tb: 0.0000 0.0000 0.2408  4 Cu 3.03, 4 Ga 3.11
Cu: 0.5000 0.5000 0.0000  8 Tb 3.03
Ga: 0.5000 0.5000 0.5000  8 Tb 3.11

DOS(E_F) = 3.24 states/eV/f.u.
Space-group type = P4/mmm, No. 123
Electronic total energy = -0.3309 Ry/atom
DFT formation energy = -0.406 eV per atom